Entry 1:
! SmYHgRh (PBE, relaxed); values from VASP
! **Energy of formation**: -581 meV per atom
&SYSTEM
  ibrav = 0, nat = 16, ntyp = 4
/
ATOMIC_SPECIES
Sm 150.36 Sm.upf
Y 88.91 Y.upf
Hg 200.59 Hg.upf
Rh 102.91 Rh.upf
CELL_PARAMETERS angstrom
7.228 0.000 0.000
0.000 7.228 0.000
0.000 0.000 7.228
ATOMIC_POSITIONS angstrom
Sm 0.000 0.000 0.000
Sm 0.000 3.614 3.614
Sm 3.614 0.000 3.614
Sm 3.614 3.614 0.000
Y 0.000 0.000 3.614
Y 0.000 3.614 0.000
Y 3.614 0.000 0.000
Y 3.614 3.614 3.614
Hg 1.807 1.807 1.807
Hg 1.807 5.421 5.421
Hg 5.421 1.807 5.421
Hg 5.421 5.421 1.807
Rh 1.807 1.807 5.421
Rh 1.807 5.421 1.807
Rh 5.421 1.807 1.807
Rh 5.421 5.421 5.421


Entry 2:
! PrDy2S4 (PBE, relaxed); values from VASP
! **Energy above the most stable polymorph in this dataset**: 0 meV/atom
! **Formation energy (no corrections)**: -2.072 eV/atom
&SYSTEM
  ibrav = 0, nat = 14, ntyp = 3
/
ATOMIC_SPECIES
Pr 140.91 Pr.upf
Dy 162.50 Dy.upf
S 32.06 S.upf
CELL_PARAMETERS angstrom
1.942 -6.503 0.000
1.942 6.503 0.000
0.000 0.000 13.255
ATOMIC_POSITIONS angstrom
Pr 1.942 4.892 9.942
Pr 1.942 -4.892 3.314
Dy 1.942 1.690 7.529
Dy 1.942 1.690 12.355
Dy 1.942 -1.690 0.901
Dy 1.942 -1.690 5.727
S 0.000 0.000 0.000
S 0.000 0.000 6.628
S 1.942 2.957 1.575
S 1.942 2.957 5.053
S 1.942 0.503 9.942
S 1.942 -0.503 3.314
S 1.942 -2.957 8.202
S 1.942 -2.957 11.681